1.
A plane-wave DFT calculation with PBE was carried out for crystalline Pr3Si at its relaxed geometry.

The space group is I4/mmm (No. 139) and the conventional cell measures 4.755, 4.755 and 10.026 Å, with angles of 90.00, 90.00 and 90.00 degrees. The distinct sites, in fractional coordinates, are Pr at (0.000, 0.000, 0.000), Pr at (0.000, 0.500, 0.250) and Si at (0.000, 0.000, 0.500).

The uncorrected energy is -5.13 eV per atom. The volume is 113.34 Å³/f.u.



2.
A plane-wave DFT calculation with PBE was carried out for crystalline Tb6Co2Te at its relaxed geometry.

The space group is Immm (No. 71) and the conventional cell measures 9.412, 9.752 and 10.094 Å, with angles of 90.00, 90.00 and 90.00 degrees. The distinct sites, in fractional coordinates, are Tb at (0.000, 0.207, 0.234), Tb at (0.181, 0.500, 0.174), Tb at (0.216, 0.318, 0.500), Co at (0.000, 0.343, 0.000), Co at (0.000, 0.500, 0.388), Te at (0.000, 0.000, 0.000) and Te at (0.000, 0.000, 0.500).

The uncorrected energy is -5.37 eV per atom. The volume is 231.61 Å³/f.u.



3.
A plane-wave DFT calculation with PBE was carried out for crystalline YCd2Si at its relaxed geometry.

The space group is I4/mmm (No. 139) and the conventional cell measures 4.222, 4.222 and 9.962 Å, with angles of 90.00, 90.00 and 90.00 degrees. The distinct sites, in fractional coordinates, are Y at (0.000, 0.000, 0.000), Cd at (0.000, 0.500, 0.250) and Si at (0.000, 0.000, 0.500).

The uncorrected energy is -3.67 eV per atom. The volume is 88.80 Å³/f.u.



4.
A plane-wave DFT calculation with PBE was carried out for crystalline CeHoErTm3 at its relaxed geometry.

The space group is Cmcm (No. 63) and the conventional cell measures 4.962, 14.845 and 9.902 Å, with angles of 90.00, 90.00 and 90.00 degrees. The distinct sites, in fractional coordinates, are Ce at (0.000, 0.000, 0.250), Ho at (0.000, 0.500, 0.000), Er at (0.000, 0.332, 0.250), Tm at (0.000, 0.165, 0.000) and Tm at (0.000, 0.333, 0.750).

The uncorrected energy is -4.69 eV per atom. The volume is 182.36 Å³/f.u. The value obtained for the formation energy is 56 meV per atom.



5.
A plane-wave DFT calculation with PBE was carried out for crystalline Cs3Pr3HfS8 at its relaxed geometry.

The space group is C2/m (No. 12) and the conventional cell measures 14.337, 8.276 and 9.534 Å, with angles of 90.00, 120.13 and 90.00 degrees. The distinct sites, in fractional coordinates, are Cs at (0.000, 0.000, 0.000), Cs at (0.250, 0.250, 0.000), Pr at (0.000, 0.500, 0.500), Pr at (0.250, 0.250, 0.500), Hf at (0.000, 0.000, 0.500), S at (0.017, 0.227, 0.325), S at (0.210, 0.000, 0.675) and S at (0.230, 0.500, 0.688).

The uncorrected energy is -5.76 eV per atom. The volume is 489.22 Å³/f.u.



6.
A plane-wave DFT calculation with PBE was carried out for crystalline PmTlAg at its relaxed geometry.

The space group is P2/m (No. 10) and the conventional cell measures 5.095, 3.618 and 5.549 Å, with angles of 90.00, 110.86 and 90.00 degrees. The distinct sites, in fractional coordinates, are Pm at (0.000, 0.000, 0.000), Tl at (0.000, 0.500, 0.500) and Ag at (0.500, 0.500, 0.000).

The uncorrected energy is -3.28 eV per atom. The volume is 95.59 Å³/f.u. The value obtained for the formation energy is 46 meV per atom.